1.
A relaxed structure of LiIr2Pb, computed with PBE.

Formation enthalpy at 0 K = 218 meV/atom
Calculated density = 15.2 g/cm3
DFT total energy = -44.95 eV for the cell shown

```
data_LiIr2Pb
_space_group_name_H-M_alt 'I m m 2'
_space_group_IT_number 44
_cell_length_a 4.208
_cell_length_b 4.218
_cell_length_c 7.378
_cell_angle_alpha 90.00
_cell_angle_beta 90.00
_cell_angle_gamma 90.00
loop_
_space_group_symop_operation_xyz
'x,y,z'
'-x,-y,z'
'-x,y,z'
'x,-y,z'
'x+1/2,y+1/2,z+1/2'
'-x+1/2,-y+1/2,z+1/2'
'-x+1/2,y+1/2,z+1/2'
'x+1/2,-y+1/2,z+1/2'
loop_
_atom_site_label
_atom_site_type_symbol
_atom_site_fract_x
_atom_site_fract_y
_atom_site_fract_z
Li1 Li 0.000 0.000 0.000
Ir1 Ir 0.000 0.000 0.492
Ir2 Ir 0.000 0.500 0.758
Pb1 Pb 0.000 0.500 0.244
```

2.
A relaxed structure of LiIr2Pb, computed with PBE.

Formation enthalpy at 0 K = 275 meV/atom
Calculated density = 15.6 g/cm3
DFT total energy = -22.25 eV for the cell shown

```
data_LiIr2Pb
_space_group_name_H-M_alt 'P 4/m m m'
_space_group_IT_number 123
_space_group_name_Hall '-P 4 2'
_cell_length_a 3.245
_cell_length_b 3.245
_cell_length_c 6.056
_cell_angle_alpha 90.00
_cell_angle_beta 90.00
_cell_angle_gamma 90.00
loop_
_atom_site_label
_atom_site_type_symbol
_atom_site_fract_x
_atom_site_fract_y
_atom_site_fract_z
Li1 Li 0.000 0.000 0.000
Ir1 Ir 0.500 0.500 0.226
Pb1 Pb 0.000 0.000 0.500
```

3.
A relaxed structure of Li3IrPb, computed with PBE.

Formation enthalpy at 0 K = 285 meV/atom
Calculated density = 6.9 g/cm3
DFT total energy = -16.89 eV for the cell shown
E above lowest polymorph = 0.000 eV/atom

```
data_Li3IrPb
_space_group_name_H-M_alt 'P m -3 m'
_space_group_IT_number 221
_space_group_name_Hall '-P 4 2 3'
_cell_length_a 4.656
_cell_length_b 4.656
_cell_length_c 4.656
_cell_angle_alpha 90.00
_cell_angle_beta 90.00
_cell_angle_gamma 90.00
loop_
_atom_site_label
_atom_site_type_symbol
_atom_site_fract_x
_atom_site_fract_y
_atom_site_fract_z
Li1 Li 0.000 0.000 0.500
Ir1 Ir 0.000 0.000 0.000
Pb1 Pb 0.500 0.500 0.500
```

4.
A relaxed structure of LiIrPb2, computed with PBE.

Formation enthalpy at 0 K = 184 meV/atom
Calculated density = 9.5 g/cm3
DFT total energy = -69.83 eV for the cell shown
E above lowest polymorph = 0.154 eV/atom

```
data_LiIrPb2
_space_group_name_H-M_alt 'I -4 2 d'
_space_group_IT_number 122
_space_group_name_Hall 'I -4 2bw'
_cell_length_a 9.063
_cell_length_b 9.063
_cell_length_c 5.199
_cell_angle_alpha 90.00
_cell_angle_beta 90.00
_cell_angle_gamma 90.00
loop_
_atom_site_label
_atom_site_type_symbol
_atom_site_fract_x
_atom_site_fract_y
_atom_site_fract_z
Li1 Li 0.000 0.000 0.000
Ir1 Ir 0.000 0.000 0.500
Pb1 Pb 0.143 0.250 0.625
```

5.
A relaxed structure of Li2IrPb, computed with PBE.

Formation enthalpy at 0 K = 126 meV/atom
Calculated density = 9.2 g/cm3
DFT total energy = -63.57 eV for the cell shown

```
data_Li2IrPb
_space_group_name_H-M_alt 'I -4 2 d'
_space_group_IT_number 122
_space_group_name_Hall 'I -4 2bw'
_cell_length_a 3.916
_cell_length_b 3.916
_cell_length_c 19.383
_cell_angle_alpha 90.00
_cell_angle_beta 90.00
_cell_angle_gamma 90.00
loop_
_atom_site_label
_atom_site_type_symbol
_atom_site_fract_x
_atom_site_fract_y
_atom_site_fract_z
Li1 Li 0.212 0.250 0.125
Ir1 Ir 0.000 0.000 0.000
Pb1 Pb 0.000 0.000 0.500
```

6.
A relaxed structure of Li2IrPb, computed with PBE.

Formation enthalpy at 0 K = -84 meV/atom
Calculated density = 10.5 g/cm3
DFT total energy = -33.46 eV for the cell shown

```
data_Li2IrPb
_space_group_name_H-M_alt 'I 4/m m m'
_space_group_IT_number 139
_space_group_name_Hall '-I 4 2'
_cell_length_a 4.024
_cell_length_b 4.024
_cell_length_c 8.091
_cell_angle_alpha 90.00
_cell_angle_beta 90.00
_cell_angle_gamma 90.00
loop_
_atom_site_label
_atom_site_type_symbol
_atom_site_fract_x
_atom_site_fract_y
_atom_site_fract_z
Li1 Li 0.000 0.500 0.250
Ir1 Ir 0.000 0.000 0.000
Pb1 Pb 0.000 0.000 0.500
```